Record 1
Density functional theory data (SCAN) for a crystal of Si2NiIr relaxed with PBEsol.

Computed properties:
Crystal system = orthorhombic
Calculated density = 10.3 Mg/m³
Formation energy (no corrections) = -0.562 eV/atom

a = 2.8946 Å, b = 3.4811 Å, c = 4.9312 Å
α = 90.00°, β = 90.00°, γ = 90.00°
Last column: nearest neighbours and their distance in Å.
Fractional coordinates of all 4 atoms:
1 Si 0.5000 0.5000 0.2726  1 Ni 2.30, 4 Ir 2.45
2 Si 0.0000 0.0000 0.9594  4 Ni 2.39, 2 Ir 2.45-2.48
3 Ni 0.5000 0.5000 0.8062  5 Si 2.30-2.39
4 Ir 0.0000 0.0000 0.4618  6 Si 2.45-2.48

Record 2
Density functional theory data (SCAN) for a crystal of Zr4GeSb7 relaxed with PBEsol.

Computed properties:
Crystal system = monoclinic
Calculated density = 7.9 Mg/m³
Formation energy (no corrections) = -0.636 eV/atom

a = 3.9303 Å, b = 7.2654 Å, c = 9.5452 Å
α = 90.44°, β = 90.00°, γ = 90.00°
Last column: nearest neighbours and their distance in Å.
Fractional coordinates of all 12 atoms:
1 Sb 0.5000 0.9219 0.6399  2 Ge 3.01, 5 Zr 3.01-3.08
2 Sb 0.0000 0.1316 0.9534  4 Sb 2.91-3.10, 4 Zr 2.92-3.08
3 Sb 0.5000 0.4321 0.8501  5 Zr 2.97-3.28, 2 Sb 3.10
4 Sb 0.0000 0.0700 0.3571  5 Zr 3.00-3.15, 2 Sb 3.17
5 Sb 0.0000 0.5651 0.1500  5 Zr 2.98-3.30, 2 Sb 3.10
6 Sb 0.5000 0.8636 0.0455  4 Sb 2.91-3.10, 4 Zr 2.93-3.07
7 Sb 0.5000 0.3860 0.4605  2 Ge 2.78, 4 Zr 2.94-2.96
8 Zr 0.0000 0.7377 0.8315  1 Ge 2.83, 7 Sb 2.97-3.08
9 Zr 0.5000 0.7578 0.3409  2 Ge 2.92, 7 Sb 2.93-3.08
10 Zr 0.0000 0.2432 0.6607  8 Sb 2.92-3.15, 1 Ge 3.05
11 Zr 0.5000 0.2574 0.1654  9 Sb 2.96-3.28
12 Ge 0.0000 0.6337 0.5452  4 Sb 2.78-3.01, 4 Zr 2.83-3.05